Entry from Alexandria via LeMat-Bulk: crystalline DyCuHg at its relaxed geometry (PBE-GGA).

The structure in CIF format:
```
data_DyCuHg
_space_group_name_H-M_alt 'P 1 21/m 1'
_space_group_IT_number 11
_cell_length_a 4.373
_cell_length_b 4.830
_cell_length_c 6.359
_cell_angle_alpha 90.00
_cell_angle_beta 110.08
_cell_angle_gamma 90.00
loop_
_space_group_symop_operation_xyz
'x,y,z'
'-x,-y,-z'
'-x,y+1/2,-z'
'x,-y+1/2,z'
loop_
_atom_site_label
_atom_site_type_symbol
_atom_site_fract_x
_atom_site_fract_y
_atom_site_fract_z
Dy1 Dy 0.114 0.250 0.217
Cu1 Cu 0.229 0.750 0.476
Hg1 Hg 0.404 0.250 0.798
```

**DFT formation energy**: -0.27 eV per atom